# 1
# BaZn, optimized geometry, DFT GGA-PBE
# Calculated total energy, eV/atom: -1.48
data_BaZn
_chemical_formula_sum 'Ba4 Zn4'
_cell_length_a 4.994
_cell_length_b 7.746
_cell_length_c 6.239
_cell_angle_alpha 90.00
_cell_angle_beta 90.00
_cell_angle_gamma 90.00
_symmetry_space_group_name_H-M 'P m m 2'
_symmetry_Int_Tables_number 25
_symmetry_space_group_name_Hall 'P 2 -2'
loop_
_atom_site_label
_atom_site_fract_x
_atom_site_fract_y
_atom_site_fract_z
_atom_site_occupancy
Ba1 0.000 0.000 0.000 1
Ba2 0.000 0.294 0.563 1
Ba3 0.500 0.000 0.443 1
Zn1 0.000 0.500 0.061 1
Zn2 0.500 0.316 0.929 1
Zn3 0.500 0.500 0.284 1



# 2
# NaGeIrPb, optimized geometry, DFT GGA-PBE
# Excess energy over the best structure of this formula in the dataset, eV/f.u.: 1.17
data_NaGeIrPb
_chemical_formula_sum 'Na4 Ge4 Ir4 Pb4'
_cell_length_a 6.877
_cell_length_b 6.877
_cell_length_c 6.877
_cell_angle_alpha 90.00
_cell_angle_beta 90.00
_cell_angle_gamma 90.00
_symmetry_space_group_name_H-M 'F -4 3 m'
_symmetry_Int_Tables_number 216
_symmetry_space_group_name_Hall 'F -4 2 3'
loop_
_atom_site_label
_atom_site_fract_x
_atom_site_fract_y
_atom_site_fract_z
_atom_site_occupancy
Na1 0.000 0.000 0.000 1
Ge1 0.250 0.250 0.250 1
Ir1 0.250 0.250 0.750 1
Pb1 0.000 0.000 0.500 1



# 3
# DyTmAlIr2, optimized geometry, DFT GGA-PBE
# Calculated total energy, eV/atom: -7.07
data_DyTmAlIr2
_chemical_formula_sum 'Dy2 Tm2 Al2 Ir4'
_cell_length_a 4.084
_cell_length_b 5.823
_cell_length_c 8.445
_cell_angle_alpha 90.00
_cell_angle_beta 90.00
_cell_angle_gamma 90.00
_symmetry_space_group_name_H-M 'I m m 2'
_symmetry_Int_Tables_number 44
_symmetry_space_group_name_Hall 'I 2 -2'
loop_
_atom_site_label
_atom_site_fract_x
_atom_site_fract_y
_atom_site_fract_z
_atom_site_occupancy
Dy1 0.000 0.000 0.000 1
Tm1 0.000 0.000 0.604 1
Al1 0.000 0.500 0.802 1
Ir1 0.000 0.260 0.302 1